KHoMo2O8 (PBE+U, relaxed); raw total energy = -85.68 eV/f.u.; symmetry = No. 60; total magnetization = 0.0 μB per formula unit; calculated volume = 779.8 Å³/cell
1.0
5.127 0.000 0.000
0.000 18.912 0.000
0.000 0.000 8.042
K Ho Mo O
4 4 8 32
Direct
0.000 0.224 0.250
0.000 0.776 0.750
0.500 0.276 0.750
0.500 0.724 0.250
0.000 0.004 0.750
0.000 0.996 0.250
0.500 0.496 0.250
0.500 0.504 0.750
0.022 0.401 0.509
0.022 0.599 0.009
0.478 0.099 0.009
0.478 0.901 0.509
0.522 0.099 0.491
0.522 0.901 0.991
0.978 0.401 0.991
0.978 0.599 0.491
0.100 0.314 0.986
0.100 0.686 0.486
0.235 0.405 0.332
0.235 0.595 0.832
0.243 0.408 0.685
0.243 0.592 0.185
0.247 0.035 0.503
0.247 0.965 0.003
0.253 0.465 0.003
0.253 0.535 0.503
0.257 0.092 0.185
0.257 0.908 0.685
0.265 0.095 0.832
0.265 0.905 0.332
0.400 0.186 0.486
0.400 0.814 0.986
0.600 0.186 0.014
0.600 0.814 0.514
0.735 0.095 0.668
0.735 0.905 0.168
0.743 0.092 0.315
0.743 0.908 0.815
0.747 0.465 0.497
0.747 0.535 0.997
0.753 0.035 0.997
0.753 0.965 0.497
0.757 0.408 0.815
0.757 0.592 0.315
0.765 0.405 0.168
0.765 0.595 0.668
0.900 0.314 0.514
0.900 0.686 0.014



KHoMo2O8 (PBE+U, relaxed); raw total energy = -85.50 eV/f.u.; symmetry = No. 15; total magnetization = 0.0 μB per formula unit; calculated volume = 327.6 Å³/cell
1.0
5.402 -5.181 0.000
5.402 5.181 0.000
-5.145 0.000 5.852
K Ho Mo O
2 2 4 16
Direct
0.197 0.803 0.750
0.803 0.197 0.250
0.229 0.771 0.250
0.771 0.229 0.750
0.301 0.307 0.760
0.307 0.301 0.260
0.693 0.699 0.740
0.699 0.693 0.240
0.047 0.209 0.694
0.068 0.379 0.119
0.209 0.047 0.194
0.225 0.392 0.562
0.368 0.586 0.034
0.379 0.068 0.619
0.392 0.225 0.062
0.414 0.632 0.466
0.586 0.368 0.534
0.608 0.775 0.938
0.621 0.932 0.381
0.632 0.414 0.966
0.775 0.608 0.438
0.791 0.953 0.806
0.932 0.621 0.881
0.953 0.791 0.306